Density functional theory data (PBE-GGA) for a geometry-optimized Hf3InF structure.

Its space group is Pm-3m, No. 221. Its volume is 19.00 Å³/atom. For the formation energy (no corrections), the calculation gives -0.4344 eV per atom. The energy relative to the lowest polymorph listed for this composition is 0 meV/atom.

Cell lengths 4.563, 4.563, 4.563 Å; angles 90.00, 90.00, 90.00 degrees
Fractional positions:
Hf1 0.500 0.000 0.000
Hf2 0.000 0.500 0.000
Hf3 0.000 0.000 0.500
F1 0.000 0.000 0.000
In1 0.500 0.500 0.500